NdBiI2 | PBE-GGA | optimized geometry

a b c (Å): 11.5620 11.5620 11.5620
angles (deg): 19.62 19.62 19.62
Atoms (fractional coordinates):
Nd (0.0000, 0.0000, 0.0000)
Bi (0.5000, 0.5000, 0.5000)
I (0.3983, 0.3983, 0.3983)
I (0.6017, 0.6017, 0.6017)

Results
- Energy relative to the elements, uncorrected: -0.64 eV/atom
- Symmetry: R-3m
- Electronic total energy: -3.573 eV per atom